Record 1
# OsAuCl

A geometry-optimized OsAuCl structure (PBE-GGA, Alexandria via LeMat-Bulk).

Output
relative energy among the computed polymorphs: 0.251 eV/atom
ΔE_f (raw): 0.9526 eV per atom
E: -4.499 eV per atom
symmetry: I4mm (107)

Lattice parameters (Å, degrees): 6.9069 6.9069 6.9069 155.42 155.42 35.03
With the nearest neighbours (Å) after each atom.
Element x y z (fractional)
Cl1 0.2969 0.2969 0.0000  4 Os 2.65, 4 Cl 2.94
Os1 0.6724 0.6724 0.0000  4 Cl 2.65, 4 Au 2.79, 4 Os 2.94
Au1 0.0307 0.0307 0.0000  4 Os 2.79, 4 Au 2.94


Record 2
# OsAuCl3

A geometry-optimized OsAuCl3 structure (PBE-GGA, Alexandria via LeMat-Bulk).

Output
relative energy among the computed polymorphs: 0.661 eV/atom
ΔE_f (raw): 1.2012 eV per atom
E: -2.808 eV per atom
symmetry: Pm-3m (221)

Lattice parameters (Å, degrees): 5.0760 5.0760 5.0760 90.00 90.00 90.00
With the nearest neighbours (Å) after each atom.
Element x y z (fractional)
Cl1 0.5000 0.0000 0.0000  2 Au 2.54
Cl2 0.0000 0.0000 0.5000  2 Au 2.54
Cl3 0.0000 0.5000 0.0000  2 Au 2.54
Au1 0.0000 0.0000 0.0000  6 Cl 2.54
Os1 0.5000 0.5000 0.5000  12 Cl 3.59


Record 3
# Os2AuCl2

A geometry-optimized Os2AuCl2 structure (PBE-GGA, Alexandria via LeMat-Bulk).

Output
ΔE_f (raw): 1.3885 eV per atom
E: -4.498 eV per atom
symmetry: I4/mmm (139)

Lattice parameters (Å, degrees): 5.9601 5.9601 5.9601 139.55 139.55 58.54
With the nearest neighbours (Å) after each atom.
Element x y z (fractional)
Au1 0.0000 0.0000 0.0000  8 Cl 3.23, 8 Os 3.32
Cl1 0.6346 0.6346 0.0000  4 Os 2.38
Cl2 0.3654 0.3654 0.0000  4 Os 2.38
Os1 0.2500 0.7500 0.5000  4 Cl 2.38
Os2 0.7500 0.2500 0.5000  4 Cl 2.38


Record 4
# Os4AuCl

A geometry-optimized Os4AuCl structure (PBE-GGA, Alexandria via LeMat-Bulk).

Output
ΔE_f (raw): 1.4675 eV per atom
E: -6.873 eV per atom
symmetry: F-43m (216)

Lattice parameters (Å, degrees): 5.2487 5.2487 5.2487 60.00 60.00 60.00
With the nearest neighbours (Å) after each atom.
Element x y z (fractional)
Os1 0.3750 0.8749 0.3750  6 Os 2.62
Os2 0.3750 0.3750 0.3750  6 Os 2.62
Os3 0.8749 0.3750 0.3750  6 Os 2.62
Os4 0.3750 0.3750 0.8749  6 Os 2.62
Au1 0.7500 0.7500 0.7500  12 Os 3.08, 4 Cl 3.21
Cl1 0.0000 0.0000 0.0000  12 Os 3.08, 4 Au 3.21


Record 5
# OsAuCl6

A geometry-optimized OsAuCl6 structure (PBE-GGA, Alexandria via LeMat-Bulk).

Output
ΔE_f (raw): -0.2952 eV per atom
E: -3.494 eV per atom
symmetry: C2/c (15)

Lattice parameters (Å, degrees): 6.2521 6.2521 11.3700 83.68 83.68 84.03
With the nearest neighbours (Å) after each atom.
Element x y z (fractional)
Cl1 0.1938 0.8366 0.0916  1 Os 2.35, 1 Au 2.53
Cl2 0.7027 0.6755 0.0252  1 Os 2.29
Cl3 0.0886 0.5834 0.6846  1 Os 2.35, 1 Au 2.55
Cl4 0.9114 0.4166 0.3154  1 Os 2.35, 1 Au 2.55
Cl5 0.8062 0.1634 0.9084  1 Os 2.35, 1 Au 2.53
Cl6 0.2973 0.3245 0.9748  1 Os 2.29
Cl7 0.8366 0.1938 0.5916  1 Os 2.35, 1 Au 2.53
Cl8 0.3245 0.2973 0.4748  1 Os 2.29
Cl9 0.5834 0.0886 0.1846  1 Os 2.35, 1 Au 2.55
Cl10 0.1634 0.8062 0.4084  1 Os 2.35, 1 Au 2.53
Cl11 0.6755 0.7027 0.5252  1 Os 2.29
Cl12 0.4166 0.9114 0.8154  1 Os 2.35, 1 Au 2.55
Os1 0.5000 0.0000 0.0000  6 Cl 2.29-2.35
Os2 0.0000 0.5000 0.5000  6 Cl 2.29-2.35
Au1 0.9645 0.0355 0.2500  4 Cl 2.53-2.55
Au2 0.0355 0.9645 0.7500  4 Cl 2.53-2.55


Record 6
# OsAuCl

A geometry-optimized OsAuCl structure (PBE-GGA, Alexandria via LeMat-Bulk).

Output
relative energy among the computed polymorphs: 0.417 eV/atom
ΔE_f (raw): 1.1185 eV per atom
E: -4.333 eV per atom
symmetry: P-6m2 (187)

Lattice parameters (Å, degrees): 4.5100 4.5100 2.8230 90.00 90.00 120.00
With the nearest neighbours (Å) after each atom.
Element x y z (fractional)
Cl1 0.3333 0.6667 0.5000  3 Os 2.60, 2 Cl 2.82
Os1 0.6667 0.3333 0.5001  3 Cl 2.60, 2 Os 2.82
Au1 0.0000 0.0000 0.9999  2 Au 2.82, 6 Os 2.96, 6 Cl 2.96


Question: Which of these has the lowest ΔE_f (raw)?
Answer: OsAuCl6